The following is a GGA-PBEsol calculation of Mg2Pt after structural relaxation, from Alexandria.

Geometry as extended XYZ:
```
3
Lattice="2.805 0.000 0.000 0.000 4.483 0.000 0.000 -2.242 3.882" Properties=species:S:1:pos:R:3 pbc="T T T"
Pt 1.403 0.000 0.000
Mg 0.000 2.242 1.294
Mg 0.000 0.000 2.588
```

Results
Density in g/cm3: 8.29
Energy in eV/atom: -3.932
Space-group type: P6/mmm
D(E_F) in states/eV/cell: 0.8